VASP calculation (PBE with a Hubbard U) on an optimized crystal structure of Rb2FeF5.

Cell lengths 4.1008, 13.9182, 11.9251 Å; angles 90.00, 90.00, 90.00 degrees
Last column: nearest neighbours and their distance in Å.
Space group Cmcm (No. 63)
Asymmetric unit:
Rb1 0.0000 0.1359 0.0731 [8 per cell]  5 F 2.70-2.90
Fe1 0.0000 0.1476 0.7500 [4 per cell]  6 F 1.92-2.05
F1 0.0000 0.0508 0.6347 [8 per cell]  1 Fe 1.92
F2 0.0000 0.2471 0.6326 [8 per cell]  1 Fe 1.97
F3 0.0000 0.3436 0.2500 [4 per cell]  2 Fe 2.05

Properties
* D(E_F): 0.0 states/eV per cell
* calculated volume: 21.3 Å³ per atom
* electronic total energy: -4.77 eV/atom
* magnetization: 19.98 Bohr magnetons per cell
* calculated density: 3.14 g/cm³